The following is a DFT calculation (GGA-PBE) of an optimized crystal structure of Li6TcO6.

```
Li6TcO6
1.0
-1.928 5.019 -1.005
-5.406 0.643 -0.889
-3.084 2.298 4.022
O Li Tc
6 6 1
Direct
0.917 0.638 0.204
0.648 0.197 0.888
0.782 0.102 0.348
0.352 0.803 0.112
0.083 0.362 0.796
0.218 0.898 0.652
0.507 0.918 0.294
0.917 0.275 0.497
0.277 0.489 0.919
0.083 0.725 0.503
0.493 0.082 0.706
0.723 0.511 0.081
0.000 0.000 0.000
```

Summary:
The value obtained for the total energy is -5.7314 eV per atom.